MoAuI2O | PBE with a Hubbard U | relaxed

Calculated values
magnetic moment	4.73	μB per formula unit
energy above the lowest structure with this stoichiometry	0.601	eV per atom

Lattice parameters (Å, degrees): 5.8033 5.8033 4.0102 90.00 90.00 90.00
Fractional positions:
I 0.0000 0.5000 0.0000
I 0.5000 0.0000 0.0000
Mo 0.5000 0.5000 0.5000
Au 0.0000 0.0000 0.0000
O 0.0000 0.0000 0.5000